## SrNdPb4 (PBE)

Data for crystalline SrNdPb4 at its relaxed geometry.

Structure (CIF):
```
data_SrNdPb4
_chemical_formula_sum 'Sr1 Nd1 Pb4'
_cell_length_a 6.557
_cell_length_b 6.557
_cell_length_c 6.557
_cell_angle_alpha 60.00
_cell_angle_beta 60.00
_cell_angle_gamma 60.00
_symmetry_space_group_name_H-M 'P 1'
_symmetry_Int_Tables_number 1
_symmetry_space_group_name_Hall 'P 1'
loop_
_atom_site_label
_atom_site_fract_x
_atom_site_fract_y
_atom_site_fract_z
_atom_site_occupancy
Sr1 0.000 0.000 0.000 1
Nd1 0.250 0.250 0.250 1
Pb1 0.127 0.624 0.624 1
Pb2 0.624 0.127 0.624 1
Pb3 0.624 0.624 0.127 1
Pb4 0.624 0.624 0.624 1
```

Calculated values
- energy relative to the elements (eV per atom) = -0.272
- offset from the most stable computed form (eV/atom) = 0.119